[1]
# Zn4CuAu

Zn4CuAu after structural relaxation (PBE, Alexandria via LeMat-Bulk).

Summary:
magnetization	0.000	μB per atom
energy above the lowest structure with this stoichiometry	0.093	eV/atom
ΔH_f (0 K)	-0.005	eV/atom

Lattice parameters (Å, degrees): 7.081 7.081 7.081 90.00 90.00 90.00
Space group F-43m (No. 216)
Symmetry-distinct sites (fractional):
Zn: 0.125 0.125 0.125 (multiplicity 16)
Cu: 0.000 0.000 0.500 (multiplicity 4)
Au: 0.250 0.250 0.750 (multiplicity 4)

---

[2]
# Zn4Cu5Au2

Zn4Cu5Au2 after structural relaxation (PBE, Alexandria via LeMat-Bulk).

Summary:
magnetization	0.000	μB per atom
ΔH_f (0 K)	-0.097	eV/atom

Lattice parameters (Å, degrees): 13.958 3.742 6.078 90.00 104.38 90.00
Space group C2/m (No. 12)
Symmetry-distinct sites (fractional):
Zn: 0.043 0.000 0.242 (multiplicity 4)
Zn: 0.182 0.500 0.414 (multiplicity 4)
Cu: 0.000 0.500 0.500 (multiplicity 2)
Cu: 0.140 0.000 0.670 (multiplicity 4)
Cu: 0.231 0.000 0.149 (multiplicity 4)
Au: 0.097 0.500 0.955 (multiplicity 4)

---

[3]
# Zn3CuAu6

Zn3CuAu6 after structural relaxation (PBE, Alexandria via LeMat-Bulk).

Summary:
magnetization	0.000	μB per atom
energy above the lowest structure with this stoichiometry	0.000	eV/atom
ΔH_f (0 K)	-0.139	eV/atom

Lattice parameters (Å, degrees): 7.617 4.649 9.967 90.00 110.96 90.00
Space group P2_1/m (No. 11)
Symmetry-distinct sites (fractional):
Zn: 0.092 0.250 0.228 (multiplicity 2)
Zn: 0.296 0.250 0.025 (multiplicity 2)
Zn: 0.318 0.750 0.376 (multiplicity 2)
Cu: 0.114 0.750 0.575 (multiplicity 2)
Au: 0.067 0.250 0.710 (multiplicity 2)
Au: 0.104 0.750 0.076 (multiplicity 2)
Au: 0.270 0.250 0.517 (multiplicity 2)
Au: 0.291 0.750 0.865 (multiplicity 2)
Au: 0.486 0.250 0.330 (multiplicity 2)
Au: 0.493 0.250 0.832 (multiplicity 2)

---

[4]
# Zn8Cu5Au

Zn8Cu5Au after structural relaxation (PBE, Alexandria via LeMat-Bulk).

Summary:
magnetization	0.000	μB per atom
ΔH_f (0 K)	0.027	eV/atom

Lattice parameters (Å, degrees): 7.110 7.110 8.199 90.00 90.00 90.00
Space group I-4 (No. 82)
Symmetry-distinct sites (fractional):
Zn: 0.067 0.167 0.329 (multiplicity 8)
Zn: 0.113 0.344 0.997 (multiplicity 8)
Cu: 0.000 0.500 0.250 (multiplicity 2)
Cu: 0.121 0.300 0.682 (multiplicity 8)
Au: 0.000 0.000 0.000 (multiplicity 2)

---

[5]
# Zn4Cu4Au3

Zn4Cu4Au3 after structural relaxation (PBE, Alexandria via LeMat-Bulk).

Summary:
magnetization	0.000	μB per atom
energy above the lowest structure with this stoichiometry	0.000	eV/atom
ΔH_f (0 K)	-0.122	eV/atom

Lattice parameters (Å, degrees): 2.954 3.426 15.928 83.87 84.84 89.86
Space group P-1 (No. 2)
Symmetry-distinct sites (fractional):
Zn: 0.049 0.050 0.399 (multiplicity 2)
Zn: 0.313 0.310 0.877 (multiplicity 2)
Cu: 0.229 0.231 0.041 (multiplicity 2)
Cu: 0.413 0.410 0.680 (multiplicity 2)
Au: 0.137 0.141 0.221 (multiplicity 2)
Au: 0.500 0.500 0.500 (multiplicity 1)

---

[6]
# Zn4Cu15Au

Zn4Cu15Au after structural relaxation (PBE, Alexandria via LeMat-Bulk).

Summary:
magnetization	0.000	μB per atom
ΔH_f (0 K)	-0.050	eV/atom

Lattice parameters (Å, degrees): 3.656 3.656 18.978 90.00 90.00 90.00
Space group P4/mmm (No. 123)
Symmetry-distinct sites (fractional):
Zn: 0.000 0.000 0.099 (multiplicity 2)
Zn: 0.000 0.000 0.297 (multiplicity 2)
Cu: 0.000 0.500 0.000 (multiplicity 2)
Cu: 0.000 0.500 0.197 (multiplicity 4)
Cu: 0.000 0.500 0.394 (multiplicity 4)
Cu: 0.500 0.500 0.098 (multiplicity 2)
Cu: 0.500 0.500 0.296 (multiplicity 2)
Cu: 0.500 0.500 0.500 (multiplicity 1)
Au: 0.000 0.000 0.500 (multiplicity 1)

---

[7]
# Zn6Cu2Au3

Zn6Cu2Au3 after structural relaxation (PBE, Alexandria via LeMat-Bulk).

Summary:
magnetization	0.000	μB per atom
ΔH_f (0 K)	-0.044	eV/atom

Lattice parameters (Å, degrees): 3.642 3.642 27.145 90.00 90.00 90.00
Space group I4/mmm (No. 139)
Symmetry-distinct sites (fractional):
Zn: 0.000 0.000 0.227 (multiplicity 4)
Zn: 0.000 0.500 0.073 (multiplicity 8)
Cu: 0.000 0.000 0.138 (multiplicity 4)
Au: 0.000 0.000 0.324 (multiplicity 4)
Au: 0.000 0.000 0.500 (multiplicity 2)

---

[8]
# Zn2Cu4Au3

Zn2Cu4Au3 after structural relaxation (PBE, Alexandria via LeMat-Bulk).

Summary:
magnetization	0.000	μB per atom
energy above the lowest structure with this stoichiometry	0.000	eV/atom
ΔH_f (0 K)	-0.093	eV/atom

Lattice parameters (Å, degrees): 4.459 4.970 6.913 73.70 79.86 63.43
Space group P-1 (No. 2)
Symmetry-distinct sites (fractional):
Zn: 0.220 0.036 0.328 (multiplicity 2)
Cu: 0.129 0.268 0.661 (multiplicity 2)
Cu: 0.317 0.863 0.999 (multiplicity 2)
Au: 0.000 0.500 0.000 (multiplicity 1)
Au: 0.462 0.620 0.675 (multiplicity 2)